Record 1
## LiTbPmAu (GGA-PBE)

Data for LiTbPmAu after structural relaxation.

The value obtained for the energy of formation from the pure elements is -0.37 eV per atom. The crystal system is cubic. Its magnetization is 0.0 μB per cell.

The structure belongs to space group F-43m (No. 216); the cell edges are 7.333, 7.333 and 7.333 Å and the angles 90.00°, 90.00° and 90.00°. Symmetry generates all atoms from Li at (0.000, 0.000, 0.000), Tb at (0.250, 0.250, 0.750), Pm at (0.250, 0.250, 0.250) and Au at (0.000, 0.000, 0.500).

Record 2
## DyZr2ScAs4 (GGA-PBE)

Data for DyZr2ScAs4 after structural relaxation.

The value obtained for the energy of formation from the pure elements is -1.27 eV per atom. The crystal system is monoclinic. Its magnetization is 0.0 μB per cell.

The structure belongs to space group P2/m (No. 10); the cell edges are 6.778, 3.911 and 6.867 Å and the angles 90.00°, 109.27° and 90.00°. Symmetry generates all atoms from Dy at (0.000, 0.000, 0.000), Zr at (0.000, 0.500, 0.500), Zr at (0.500, 0.000, 0.500), Sc at (0.500, 0.500, 0.000), As at (0.256, 0.000, 0.747) and As at (0.259, 0.500, 0.258).